First-principles (PBE) data for an optimized crystal structure of ZrBiAsO5, as listed in the Alexandria database.

a = 6.044 Å, b = 6.044 Å, c = 8.440 Å
α = 111.04°, β = 111.04°, γ = 100.15°
Fractional positions:
O 0.375 0.231 0.117
O 0.050 0.950 0.250
O 0.769 0.625 0.383
O 0.105 0.667 0.931
O 0.333 0.895 0.569
O 0.231 0.375 0.617
O 0.950 0.050 0.750
O 0.667 0.105 0.431
O 0.625 0.769 0.883
O 0.895 0.333 0.069
As 0.703 0.297 0.250
As 0.297 0.703 0.750
Zr 0.000 0.000 0.500
Zr 0.000 0.000 0.000
Bi 0.290 0.710 0.250
Bi 0.710 0.290 0.750

Output
For the magnetization, the calculation gives 0.0 Bohr magnetons per cell. The value obtained for the raw total energy is -114.12 eV per cell. The volume is 252 Å³ per cell. The density comes out at 6.01 g cm⁻³. The value obtained for the uncorrected formation energy is -183.19 kJ per mole of atoms.